[1]
4
Lattice="-0.659 0.017 4.062 -3.786 -0.657 1.473 -0.864 -3.514 1.959" Properties=species:S:1:pos:R:3 comment="AlZnCoCu, optimized geometry, DFT PBE" total_magnetization_mub_per_fu=0.00 polymorph_energy_mev_per_atom=114.6 sg="F-43m, No. 216" pbc="T T T"
Al -1.327 -1.039 1.874
Co 0.000 0.000 0.000
Cu -3.981 -3.116 5.621
Zn -2.654 -2.077 3.747



[2]
9
Lattice="-2.690 -5.079 3.947 5.037 -1.454 -4.596 2.379 0.615 2.413" Properties=species:S:1:pos:R:3 comment="Zr3Al3Co2Cu, optimized geometry, DFT PBE" total_magnetization_mub_per_fu=0.00 sg="P-62m, No. 189" dft_energy_ev_per_atom=-6.611 pbc="T T T"
Al -0.687 -1.298 1.009
Al 1.287 -0.372 -1.175
Al 1.747 -4.863 -0.483
Co -0.114 -3.870 1.099
Co 2.461 -2.662 -1.748
Cu 1.189 0.307 1.206
Zr -0.391 -2.678 3.526
Zr 2.157 -2.385 0.939
Zr 4.150 -0.547 -1.495



[3]
11
Lattice="4.211 0.000 0.000 0.000 4.211 0.000 0.000 0.000 11.130" Properties=species:S:1:pos:R:3 comment="Dy2Al8Co, optimized geometry, DFT PBE" total_magnetization_mub_per_fu=0.00 sg="P4/mmm, No. 123" dft_energy_ev_per_atom=-4.657 pbc="T T T"
Al 2.105 0.000 1.295
Al 0.000 2.105 1.295
Al 2.105 2.105 3.413
Al 2.105 0.000 5.565
Al 0.000 2.105 5.565
Al 2.105 2.105 7.717
Al 2.105 0.000 9.834
Al 0.000 2.105 9.834
Co 0.000 0.000 0.000
Dy 0.000 0.000 3.419
Dy 0.000 0.000 7.711



[4]
18
Lattice="-4.628 4.756 4.956 4.628 -4.756 4.956 4.628 4.756 -4.956" Properties=species:S:1:pos:R:3 comment="Dy6AlCo2, optimized geometry, DFT PBE" total_magnetization_mub_per_fu=0.00 sg="Immm, No. 71" dft_energy_ev_per_atom=-5.312 pbc="T T T"
Al 0.000 0.000 0.000
Al 0.000 0.000 4.956
Co 0.000 3.146 0.000
Co 0.000 4.756 3.821
Co 4.628 0.000 1.135
Co 0.000 6.365 0.000
Dy -2.011 3.020 4.956
Dy 0.000 1.891 2.357
Dy 0.000 1.891 7.555
Dy 2.883 0.000 3.216
Dy 2.883 0.000 6.696
Dy 2.616 1.735 0.000
Dy 2.011 3.020 4.956
Dy 1.745 4.756 -1.740
Dy 1.745 4.756 1.740
Dy 4.628 2.865 -2.599
Dy 4.628 2.865 2.599
Dy 6.639 1.735 0.000



[5]
8
Lattice="-1.006 4.033 5.665 5.023 -0.957 1.574 4.769 2.295 -0.787" Properties=species:S:1:pos:R:3 comment="DyErAl4Co2, optimized geometry, DFT PBE" total_magnetization_mub_per_fu=0.01 sg="Amm2, No. 38" dft_energy_ev_per_atom=-5.336 pbc="T T T"
Al 3.135 1.242 1.373
Al 2.522 3.702 4.828
Al 6.152 2.119 2.256
Al 5.763 3.680 4.448
Co 1.617 2.306 3.003
Co 7.671 1.048 0.617
Dy 0.582 0.080 0.047
Er 8.706 3.275 3.573



[6]
5
Lattice="-2.616 -0.308 4.697 -0.814 5.196 1.158 -1.380 -3.341 -3.992" Properties=species:S:1:pos:R:3 comment="GdDyAlCo2, optimized geometry, DFT PBE" total_magnetization_mub_per_fu=0.00 polymorph_energy_mev_per_atom=0.0 sg="Imm2, No. 44" pbc="T T T"
Al -0.001 0.001 0.002
Co -2.609 1.626 3.083
Co -2.200 -0.082 -1.224
Dy -2.112 2.374 0.315
Gd -2.699 -0.826 1.549



[7]
8
Lattice="3.869 0.000 0.000 0.000 2.089 9.089 0.000 -2.089 9.089" Properties=species:S:1:pos:R:3 comment="GdDyAl4Co2, optimized geometry, DFT PBE" total_magnetization_mub_per_fu=0.02 sg="Amm2, No. 38" dft_energy_ev_per_atom=-5.275 pbc="T T T"
Al 0.000 0.000 0.007
Al 1.934 0.000 3.780
Al 1.934 0.000 9.100
Al 1.934 0.000 14.381
Co 1.934 0.000 1.370
Co 1.934 0.000 16.812
Dy 0.000 0.000 11.637
Gd 0.000 0.000 6.536



[8]
5
Lattice="-3.289 1.154 -1.808 0.341 6.043 3.236 2.256 6.482 0.031" Properties=species:S:1:pos:R:3 comment="GdDyAlCo2, optimized geometry, DFT PBE" total_magnetization_mub_per_fu=0.25 polymorph_energy_mev_per_atom=80.0 sg="Amm2, No. 38" pbc="T T T"
Al 2.594 12.511 3.263
Co 0.524 2.527 0.659
Co 2.078 10.020 2.614
Dy -0.693 5.164 0.292
Gd 0.000 8.508 1.164